[1]
PBE ReWSe, relaxed; mass density = 16.1 g/cm³; space-group type = I4mm (107); electronic total energy = -0.6839 Ry/atom
1.0
-3.438 -0.012 -4.388
-5.155 -1.876 -0.991
3.499 2.807 3.308
Re Se W
1 1 1
direct
0.997 0.997 0.000 Re
0.333 0.333 0.000 Se
0.670 0.670 0.000 W



[2]
PBE TbPr2NdHo, relaxed; mass density = 7.1 g/cm³; space-group type = P2/c (13); DFT formation energy = 0.264 eV per atom
1.0
6.813 0.000 0.000
0.000 8.142 1.416
0.000 -1.094 6.149
Tb Pr Nd Ho
2 4 2 2
direct
0.579 0.000 0.250 Tb
0.421 0.000 0.750 Tb
0.692 0.695 0.752 Pr
0.692 0.305 0.748 Pr
0.308 0.695 0.252 Pr
0.308 0.305 0.248 Pr
0.000 0.000 0.000 Nd
0.000 0.000 0.500 Nd
0.156 0.500 0.750 Ho
0.844 0.500 0.250 Ho



[3]
PBE In2TeIr, relaxed; mass density = 9.0 g/cm³; space-group type = Cm (8); electronic total energy = -0.3242 Ry/atom
1.0
-0.114 -2.454 4.501
-2.495 -3.878 2.244
3.428 -5.351 -0.240
In Ir Te
2 1 1
direct
0.998 0.998 0.961 In
0.807 0.807 0.644 In
0.534 0.534 0.612 Ir
0.160 0.160 0.283 Te



[4]
PBE Rb4Y3NpTe8, relaxed; mass density = 5.0 g/cm³; space-group type = R-3m (166); electronic total energy = -0.3746 Ry/atom
1.0
-1.184 -6.898 5.845
9.562 -2.726 -1.280
-1.545 8.574 2.693
Rb Y Np Te
4 3 1 8
direct
0.500 0.000 0.000 Rb
0.500 0.000 0.500 Rb
0.000 0.000 0.000 Rb
0.000 0.000 0.500 Rb
0.500 0.500 0.000 Y
0.500 0.500 0.500 Y
0.000 0.500 0.500 Y
0.000 0.500 0.000 Np
0.235 0.700 0.964 Te
0.235 0.700 0.471 Te
0.267 0.301 0.534 Te
0.729 0.700 0.964 Te
0.271 0.300 0.036 Te
0.733 0.699 0.466 Te
0.765 0.300 0.529 Te
0.765 0.300 0.036 Te



[5]
PBE LiInHg2, relaxed; mass density = 8.5 g/cm³; space-group type = Immm (71); DFT formation energy = -0.035 eV per atom
1.0
5.656 -1.781 -3.024
-1.711 5.677 3.024
-4.086 0.191 5.251
Li In Hg
1 1 2
direct
0.000 0.000 0.000 Li
0.000 0.500 0.500 In
0.000 0.232 0.232 Hg
0.000 0.768 0.768 Hg



[6]
PBE LaMn4Cl, relaxed; mass density = 5.7 g/cm³; space-group type = F-43m (216); electronic total energy = -0.5025 Ry/atom
1.0
0.000 3.864 3.864
3.864 0.000 3.864
3.864 3.864 0.000
La Mn Cl
1 4 1
direct
0.000 0.000 0.000 La
0.628 0.628 0.117 Mn
0.628 0.117 0.628 Mn
0.628 0.628 0.628 Mn
0.117 0.628 0.628 Mn
0.250 0.250 0.250 Cl



[7]
PBE Al2CdBi2, relaxed; mass density = 6.7 g/cm³; space-group type = I4/mmm (139); DFT formation energy = 0.242 eV per atom
1.0
5.129 0.000 0.000
0.000 5.129 0.000
2.564 2.564 5.471
Al Bi Cd
2 2 1
direct
0.384 0.384 0.233 Al
0.616 0.616 0.767 Al
0.750 0.250 0.500 Bi
0.250 0.750 0.500 Bi
0.000 0.000 0.000 Cd



[8]
PBE Cu2Ni6Pt, relaxed; mass density = 10.6 g/cm³; space-group type = C2/m (12); DFT formation energy = -0.007 eV per atom
1.0
3.608 0.000 0.000
-1.804 3.839 -1.209
0.000 -0.149 7.640
Cu Ni Pt
2 6 1
direct
0.674 0.348 0.732 Cu
0.326 0.652 0.268 Cu
0.336 0.673 0.947 Ni
0.664 0.327 0.053 Ni
0.997 0.995 0.159 Ni
0.664 0.328 0.381 Ni
0.003 0.005 0.841 Ni
0.336 0.672 0.619 Ni
0.000 0.000 0.500 Pt



[9]
PBE LaCeCd4, relaxed; mass density = 7.8 g/cm³; space-group type = F-43m (216); DFT formation energy = -0.260 eV per atom
1.0
6.026 0.000 0.000
3.013 5.219 0.000
3.013 1.740 4.920
Cd Ce La
4 1 1
direct
0.625 0.625 0.125 Cd
0.625 0.125 0.625 Cd
0.625 0.625 0.625 Cd
0.125 0.625 0.625 Cd
0.000 0.000 0.000 Ce
0.250 0.250 0.250 La



[10]
PBE Na2Te4Ir, relaxed; mass density = 5.4 g/cm³; space-group type = I4/mmm (139); electronic total energy = -0.2573 Ry/atom
1.0
-5.235 -1.636 -0.532
1.279 -2.561 -4.708
-0.407 -8.371 1.219
Na Ir Te
2 1 4
direct
0.377 0.377 0.246 Na
0.623 0.623 0.754 Na
0.000 0.000 0.000 Ir
0.170 0.170 0.660 Te
0.830 0.830 0.340 Te
0.000 0.500 0.000 Te
0.500 0.000 0.000 Te



[11]
PBE Th3Co6Si2, relaxed; mass density = 10.6 g/cm³; space-group type = Im-3m (229); electronic total energy = -0.5420 Ry/atom
1.0
7.236 0.000 -2.558
-3.618 6.267 -2.558
0.000 0.000 7.675
Th Co Si
6 12 4
direct
0.715 0.000 0.715 Th
0.285 0.000 0.285 Th
0.000 0.285 0.285 Th
0.000 0.715 0.715 Th
0.285 0.285 0.000 Th
0.715 0.715 0.000 Th
0.656 0.312 0.656 Co
0.656 0.000 0.344 Co
0.344 0.000 0.656 Co
0.344 0.688 0.344 Co
0.000 0.656 0.344 Co
0.688 0.344 0.344 Co
0.312 0.656 0.656 Co
0.000 0.344 0.656 Co
0.344 0.656 0.000 Co
0.656 0.656 0.312 Co
0.344 0.344 0.688 Co
0.656 0.344 0.000 Co
0.000 0.500 0.000 Si
0.500 0.000 0.000 Si
0.000 0.000 0.500 Si
0.500 0.500 0.500 Si



[12]
PBE Li3TbNi8, relaxed; mass density = 6.8 g/cm³; space-group type = R3m (160); DFT formation energy = -0.179 eV per atom
1.0
-2.108 4.287 -0.635
-1.816 2.376 3.779
5.614 5.786 2.134
Li Tb Ni
3 1 8
direct
0.374 0.374 0.877 Li
0.006 0.006 0.982 Li
0.490 0.490 0.531 Li
0.875 0.875 0.374 Tb
0.941 0.439 0.180 Ni
0.434 0.937 0.691 Ni
0.439 0.439 0.180 Ni
0.937 0.937 0.691 Ni
0.187 0.187 0.438 Ni
0.688 0.688 0.935 Ni
0.439 0.941 0.180 Ni
0.937 0.434 0.691 Ni



Q: mass density of number 11 (Th3Co6Si2)?
A: 10.6 g/cm³



Q: Among the records above, which one has the highest mass density?
A: ReWSe



Q: Which of these has the highest mass density?
A: ReWSe